1.
! PrDy2Zr | Alexandria via LeMat-Bulk | PBE | relaxed; values from VASP
&SYSTEM
  ibrav = 0, nat = 4, ntyp = 3
/
ATOMIC_SPECIES
Pr 140.91 Pr.upf
Dy 162.50 Dy.upf
Zr 91.22 Zr.upf
CELL_PARAMETERS angstrom
4.028 0.000 0.000
0.000 4.028 0.000
0.000 0.000 7.456
ATOMIC_POSITIONS crystal
Pr 0.000 0.000 0.000
Dy 0.500 0.500 0.283
Dy 0.500 0.500 0.717
Zr 0.000 0.000 0.500
! Offset from the most stable computed form (kJ/mol of atoms): 8.3
! V (Å³/atom): 30.24
! DOS(E_F) (states/eV per cell): 8.34
! DFT formation energy (eV/atom): 0.17
! Energy (eV per cell): -21.8

***

2.
! UGa4Pt2 | Alexandria via LeMat-Bulk | PBE | relaxed; values from VASP
&SYSTEM
  ibrav = 0, nat = 14, ntyp = 3
/
ATOMIC_SPECIES
U 238.03 U.upf
Ga 69.72 Ga.upf
Pt 195.08 Pt.upf
CELL_PARAMETERS angstrom
7.590 0.000 0.000
0.000 7.590 0.000
0.000 0.000 4.406
ATOMIC_POSITIONS crystal
U 0.000 0.000 0.000
U 0.500 0.500 0.500
Ga 0.093 0.339 0.500
Ga 0.161 0.593 0.000
Ga 0.339 0.093 0.500
Ga 0.407 0.839 0.000
Ga 0.593 0.161 0.000
Ga 0.661 0.907 0.500
Ga 0.839 0.407 0.000
Ga 0.907 0.661 0.500
Pt 0.214 0.786 0.500
Pt 0.286 0.286 0.000
Pt 0.714 0.714 0.000
Pt 0.786 0.214 0.500
! Offset from the most stable computed form (kJ/mol of atoms): 13.8
! V (Å³/atom): 18.13
! DOS(E_F) (states/eV per cell): 14.99
! DFT formation energy (eV/atom): -0.44
! Energy (eV per cell): -77.1

***

3.
! Ba2PaRhS6 | Alexandria via LeMat-Bulk | PBE | relaxed; values from VASP
&SYSTEM
  ibrav = 0, nat = 10, ntyp = 4
/
ATOMIC_SPECIES
Ba 137.33 Ba.upf
Pa 231.04 Pa.upf
Rh 102.91 Rh.upf
S 32.06 S.upf
CELL_PARAMETERS angstrom
0.000 4.960 4.960
4.960 0.000 4.960
4.960 4.960 0.000
ATOMIC_POSITIONS crystal
Ba 0.250 0.250 0.250
Ba 0.750 0.750 0.750
Pa 0.000 0.000 0.000
Rh 0.500 0.500 0.500
S 0.261 0.261 0.739
S 0.261 0.739 0.261
S 0.261 0.739 0.739
S 0.739 0.261 0.261
S 0.739 0.261 0.739
S 0.739 0.739 0.261
! V (Å³/atom): 24.41
! Energy (eV per cell): -60.6

***

4.
! Cs2Li2MgI6 | Alexandria via LeMat-Bulk | PBE | relaxed; values from VASP
&SYSTEM
  ibrav = 0, nat = 11, ntyp = 4
/
ATOMIC_SPECIES
Cs 132.91 Cs.upf
Li 6.94 Li.upf
Mg 24.30 Mg.upf
I 126.90 I.upf
CELL_PARAMETERS angstrom
7.341 -4.244 0.000
7.341 4.244 0.000
-3.991 0.000 7.878
ATOMIC_POSITIONS crystal
Cs 0.210 0.210 0.179
Cs 0.790 0.790 0.821
Li 0.424 0.424 0.711
Li 0.576 0.576 0.289
Mg 0.000 0.000 0.500
I 0.205 0.728 0.236
I 0.228 0.228 0.632
I 0.272 0.795 0.764
I 0.728 0.205 0.236
I 0.772 0.772 0.368
I 0.795 0.272 0.764
! V (Å³/atom): 44.63
! DOS(E_F) (states/eV per cell): 0.00
! Energy (eV per cell): -30.1

***

5.
! Cs3La2US6 | Alexandria via LeMat-Bulk | PBE | relaxed; values from VASP
&SYSTEM
  ibrav = 0, nat = 12, ntyp = 4
/
ATOMIC_SPECIES
Cs 132.91 Cs.upf
La 138.91 La.upf
U 238.03 U.upf
S 32.06 S.upf
CELL_PARAMETERS angstrom
3.709 -6.426 0.000
3.709 6.426 0.000
-2.474 0.000 8.078
ATOMIC_POSITIONS crystal
Cs 0.000 0.000 0.000
Cs 0.331 0.669 0.000
Cs 0.669 0.331 0.000
La 0.166 0.834 0.500
La 0.834 0.166 0.500
U 0.500 0.500 0.500
S 0.117 0.438 0.315
S 0.240 0.240 0.686
S 0.438 0.117 0.315
S 0.562 0.883 0.685
S 0.760 0.760 0.314
S 0.883 0.562 0.685
! V (Å³/atom): 32.09
! DOS(E_F) (states/eV per cell): 11.69
! Energy (eV per cell): -68.6

***

6.
! Cs2NaGaPt | Alexandria via LeMat-Bulk | PBE | relaxed; values from VASP
&SYSTEM
  ibrav = 0, nat = 5, ntyp = 4
/
ATOMIC_SPECIES
Cs 132.91 Cs.upf
Na 22.99 Na.upf
Ga 69.72 Ga.upf
Pt 195.08 Pt.upf
CELL_PARAMETERS angstrom
6.930 0.000 0.000
0.000 6.930 0.000
0.000 0.000 4.876
ATOMIC_POSITIONS crystal
Cs 0.000 0.500 0.000
Cs 0.500 0.000 0.000
Na 0.000 0.000 0.500
Ga 0.500 0.500 0.500
Pt 0.500 0.500 0.000
! V (Å³/atom): 46.83
! DOS(E_F) (states/eV per cell): 3.21
! DFT formation energy (eV/atom): -0.08
! Energy (eV per cell): -12.5

***

7.
! GdPuIr4 | Alexandria via LeMat-Bulk | PBE | relaxed; values from VASP
&SYSTEM
  ibrav = 0, nat = 6, ntyp = 3
/
ATOMIC_SPECIES
Gd 157.25 Gd.upf
Pu 244.00 Pu.upf
Ir 192.22 Ir.upf
CELL_PARAMETERS angstrom
0.000 3.799 3.799
3.799 0.000 3.799
3.799 3.799 0.000
ATOMIC_POSITIONS crystal
Gd 0.000 0.000 0.000
Pu 0.250 0.250 0.250
Ir 0.125 0.625 0.625
Ir 0.625 0.125 0.625
Ir 0.625 0.625 0.125
Ir 0.625 0.625 0.625
! V (Å³/atom): 18.27
! DOS(E_F) (states/eV per cell): 12.30
! DFT formation energy (eV/atom): -0.65
! Energy (eV per cell): -67.8

***

8.
! AcThRuI | Alexandria via LeMat-Bulk | PBE | relaxed; values from VASP
&SYSTEM
  ibrav = 0, nat = 4, ntyp = 4
/
ATOMIC_SPECIES
Ac 227.00 Ac.upf
Th 232.04 Th.upf
Ru 101.07 Ru.upf
I 126.90 I.upf
CELL_PARAMETERS angstrom
3.650 -2.107 0.000
3.650 2.107 0.000
-2.425 0.000 8.572
ATOMIC_POSITIONS crystal
Ac 0.000 0.000 0.000
Th 0.212 0.212 0.636
Ru 0.596 0.596 0.788
I 0.776 0.776 0.327
! V (Å³/atom): 32.96
! DOS(E_F) (states/eV per cell): 0.86
! Energy (eV per cell): -25.4

***

9.
! AcUO4 | Alexandria via LeMat-Bulk | PBE | relaxed; values from VASP
&SYSTEM
  ibrav = 0, nat = 6, ntyp = 3
/
ATOMIC_SPECIES
Ac 227.00 Ac.upf
U 238.03 U.upf
O 16.00 O.upf
CELL_PARAMETERS angstrom
3.451 -2.002 0.000
3.451 2.002 0.000
-2.308 0.000 6.431
ATOMIC_POSITIONS crystal
Ac 0.000 0.000 0.000
U 0.500 0.500 0.500
O 0.136 0.136 0.407
O 0.389 0.389 0.166
O 0.611 0.611 0.834
O 0.864 0.864 0.593
! Offset from the most stable computed form (kJ/mol of atoms): 0.0
! V (Å³/atom): 14.81
! DOS(E_F) (states/eV per cell): 4.80
! Energy (eV per cell): -55.6

***

10.
! CoHCSe | Alexandria via LeMat-Bulk | PBE | relaxed; values from VASP
&SYSTEM
  ibrav = 0, nat = 4, ntyp = 4
/
ATOMIC_SPECIES
Co 58.93 Co.upf
H 1.01 H.upf
C 12.01 C.upf
Se 78.96 Se.upf
CELL_PARAMETERS angstrom
2.571 0.000 0.000
0.000 2.850 0.000
-0.034 0.000 6.630
ATOMIC_POSITIONS crystal
Co 0.000 0.000 0.000
H 0.001 0.000 0.734
C 0.439 0.500 0.004
Se 0.992 0.000 0.482
! Offset from the most stable computed form (kJ/mol of atoms): 28.3
! V (Å³/atom): 12.15
! DOS(E_F) (states/eV per cell): 1.36
! Energy (eV per cell): -20.8

***

11.
! HfAlAg | Alexandria via LeMat-Bulk | PBE | relaxed; values from VASP
&SYSTEM
  ibrav = 0, nat = 6, ntyp = 3
/
ATOMIC_SPECIES
Hf 178.49 Hf.upf
Al 26.98 Al.upf
Ag 107.87 Ag.upf
CELL_PARAMETERS angstrom
3.961 0.000 0.000
0.000 3.961 0.000
0.000 0.000 7.229
ATOMIC_POSITIONS crystal
Hf 0.250 0.250 0.135
Hf 0.750 0.750 0.865
Al 0.250 0.750 0.500
Al 0.750 0.250 0.500
Ag 0.250 0.250 0.744
Ag 0.750 0.750 0.256
! V (Å³/atom): 18.90
! DOS(E_F) (states/eV per cell): 4.68
! DFT formation energy (eV/atom): -0.04
! Energy (eV per cell): -33.3

***

12.
! RbNa2BH | Alexandria via LeMat-Bulk | PBE | relaxed; values from VASP
&SYSTEM
  ibrav = 0, nat = 5, ntyp = 4
/
ATOMIC_SPECIES
Rb 85.47 Rb.upf
Na 22.99 Na.upf
B 10.81 B.upf
H 1.01 H.upf
CELL_PARAMETERS angstrom
4.677 0.000 0.000
0.000 4.677 0.000
0.000 0.000 5.492
ATOMIC_POSITIONS crystal
Rb 0.000 0.000 0.000
Na 0.000 0.500 0.500
Na 0.500 0.000 0.500
B 0.500 0.500 0.000
H 0.000 0.000 0.500
! V (Å³/atom): 24.03
! DOS(E_F) (states/eV per cell): 3.27
! Energy (eV per cell): -9.8